[1]
SiBW2: relaxed, PBE.

abc: 7.540 7.540 7.540
angles: 23.62 23.62 23.62
Element x y z (fractional)
Si (0.000, 0.000, 0.000)
B (0.500, 0.500, 0.500)
W (0.111, 0.111, 0.111)
W (0.889, 0.889, 0.889)

## Properties
SG: R-3m, No. 166

***

[2]
K2BaCdF: relaxed, PBE.

abc: 5.565 5.565 5.653
angles: 90.00 90.00 90.00
Element x y z (fractional)
K (0.000, 0.500, 0.000)
K (0.500, 0.000, 0.000)
Ba (0.000, 0.000, 0.500)
Cd (0.500, 0.500, 0.500)
F (0.000, 0.000, 0.000)

## Properties
SG: P4/mmm, No. 123

***

[3]
TiHAu2Br: relaxed, PBE.

abc: 5.143 5.143 4.980
angles: 90.00 90.00 90.00
Element x y z (fractional)
Ti (0.000, 0.000, 0.000)
H (0.500, 0.500, 0.500)
Au (0.000, 0.500, 0.000)
Au (0.500, 0.000, 0.000)
Br (0.000, 0.000, 0.500)

## Properties
SG: P4/mmm, No. 123

***

For each record above, in turn, the calculated raw total energy values are -9.2724, -2.4659, -3.2922 eV/atom.